12
Lattice="5.6177 0.0000 0.0000 -2.8088 4.8651 0.0000 0.0000 0.0000 6.2867" Properties=species:S:1:pos:R:3 comment="PBE with a Hubbard U ZnCr2HgO8, optimized geometry" rho_kg_m3=4813 total_energy_ev_per_atom=-5.692 dos_at_fermi_per_ev_fu=0.000 vol_a3_per_cell=171.82 pbc="T T T"
Zn 0.0000 0.0000 0.0000
Cr 0.0000 3.2434 4.4422
Cr 2.8088 1.6217 1.8445
Hg 0.0000 0.0000 3.1434
O 0.0000 1.6237 4.9527
O -1.4027 4.0532 4.9527
O 0.0000 3.2434 2.8361
O 1.4062 0.8119 1.3340
O 1.4027 4.0532 4.9527
O 2.8088 1.6217 3.4506
O 4.2115 0.8119 1.3340
O 2.8088 3.2413 1.3340